Material: CdSn
Method: DFT, PBE
State: optimized geometry

Unit cell a=8.254 b=8.801 c=11.755 alpha=90.00 beta=90.00 gamma=90.00
Sites, in units of the cell vectors:
Cd 0.183 0.000 0.000
Cd 0.817 0.000 0.000
Cd 0.067 0.750 0.250
Cd 0.433 0.750 0.250
Cd 0.183 0.500 0.500
Cd 0.817 0.500 0.500
Cd 0.067 0.250 0.750
Cd 0.433 0.250 0.750
Cd 0.683 0.000 0.500
Cd 0.317 0.000 0.500
Cd 0.567 0.750 0.750
Cd 0.933 0.750 0.750
Cd 0.683 0.500 0.000
Cd 0.317 0.500 0.000
Cd 0.567 0.250 0.250
Cd 0.933 0.250 0.250
Sn 0.000 0.688 0.000
Sn 0.000 0.312 0.000
Sn 0.250 0.062 0.250
Sn 0.250 0.438 0.250
Sn 0.000 0.188 0.500
Sn 0.000 0.812 0.500
Sn 0.250 0.562 0.750
Sn 0.250 0.938 0.750
Sn 0.500 0.688 0.500
Sn 0.500 0.312 0.500
Sn 0.750 0.062 0.750
Sn 0.750 0.438 0.750
Sn 0.500 0.188 0.000
Sn 0.500 0.812 0.000
Sn 0.750 0.562 0.250
Sn 0.750 0.938 0.250

Computed properties:
The crystal system is orthorhombic. The value obtained for the formation energy is 10.6 kJ/mol of atoms. The total energy is -2.349 eV per atom. Its density of states at the Fermi level is 0.43 states/eV per atom.

=====

Material: CaTmBi
Method: DFT, PBE
State: optimized geometry

Unit cell a=4.325 b=5.160 c=5.160 alpha=120.00 beta=90.00 gamma=90.00
Sites, in units of the cell vectors:
Ca 0.631 0.667 0.333
Tm 0.108 0.000 0.000
Bi 0.261 0.333 0.667

Computed properties:
The crystal system is trigonal. The value obtained for the formation energy is -28.4 kJ/mol of atoms. The total energy is -3.745 eV per atom. Its density of states at the Fermi level is 0.50 states/eV per atom.

=====

Material: YInGa2
Method: DFT, PBE
State: optimized geometry

Unit cell a=4.524 b=4.524 c=5.755 alpha=66.86 beta=66.86 gamma=60.00
Sites, in units of the cell vectors:
Y 0.500 0.500 0.500
Ga 0.736 0.736 0.792
Ga 0.264 0.264 0.208
In 0.000 0.000 0.000

Computed properties:
The crystal system is trigonal. The value obtained for the formation energy is -29.7 kJ/mol of atoms. The total energy is -4.122 eV per atom. Its density of states at the Fermi level is 0.38 states/eV per atom.

=====

Material: Mn3HOs
Method: DFT, PBE
State: optimized geometry

Unit cell a=4.540 b=5.200 c=4.139 alpha=90.00 beta=90.57 gamma=90.00
Last column: magnetic moment on the atom in μB.
Sites, in units of the cell vectors:
H 0.987 0.250 0.517  0.00
H 0.013 0.750 0.483  0.00
Mn 0.169 0.999 0.760  0.54
Mn 0.831 0.001 0.240  0.54
Mn 0.169 0.501 0.760  0.54
Mn 0.831 0.499 0.240  0.54
Mn 0.664 0.250 0.761  -0.87
Mn 0.336 0.750 0.239  -0.87
Os 0.340 0.250 0.244  -0.03
Os 0.660 0.750 0.756  -0.03

Computed properties:
The crystal system is monoclinic. The total energy is -8.444 eV per atom. Its density of states at the Fermi level is 1.01 states/eV per atom.

=====

Material: MnHgI3
Method: DFT, PBE
State: optimized geometry

Unit cell a=7.987 b=7.711 c=7.883 alpha=77.97 beta=74.04 gamma=102.31
Last column: magnetic moment on the atom in μB.
Sites, in units of the cell vectors:
I 0.607 0.683 0.849  0.03
I 0.548 0.140 0.156  0.03
I 0.801 0.256 0.544  0.02
I 0.354 0.566 0.460  0.02
I 0.223 0.949 0.726  0.02
I 0.932 0.874 0.278  0.02
Mn 0.685 0.921 0.536  1.69
Mn 0.470 0.901 0.468  1.69
Hg 0.217 0.541 0.869  0.02
Hg 0.938 0.282 0.136  0.02

Computed properties:
The crystal system is triclinic. Its formation energy from raw total energies is -0.1224 eV per atom. The total energy is -2.947 eV per atom. Its density of states at the Fermi level is 0.00 states/eV per atom.